Ho2ErPd | PBE-GGA | optimized geometry

Cell lengths 3.5380, 3.5380, 31.9531 Å; angles 90.00, 90.00, 120.00 degrees
Space group R-3m (No. 166, hexagonal axes)
Asymmetric unit:
Ho (0.0000, 0.0000, 0.1052) x6
Er (0.0000, 0.0000, 0.0000) x3
Pd (0.0000, 0.0000, 0.5000) x3

Computed properties:
- Uncorrected energy: -4.822 eV per atom
- Excess energy over the best structure of this formula in the dataset: 389.8 meV per atom
- Formation energy from the elements: -0.37 eV/f.u.

ScTaBr | PBE-GGA | optimized geometry

Cell lengths 3.129, 3.129, 13.604 Å; angles 90.00, 90.00, 90.00 degrees
Space group I4mm (No. 107)
Asymmetric unit:
Sc (0.000, 0.000, 0.000) x2
Ta (0.000, 0.000, 0.353) x2
Br (0.000, 0.000, 0.642) x2

Computed properties:
- Uncorrected energy: -6.548 eV per atom
- Formation energy from raw total energies: 0.0713 eV/atom
- Excess energy over the best structure of this formula in the dataset: 131.0 meV per atom

Ba2MgAlTl6 | PBE-GGA | optimized geometry

Cell lengths 7.6409, 7.6409, 38.9083 Å; angles 90.00, 90.00, 120.00 degrees
Space group R-3m (No. 166, hexagonal axes)
Asymmetric unit:
Ba (0.0000, 0.0000, 0.1109) x6
Ba (0.0000, 0.0000, 0.2827) x6
Mg (0.0000, 0.0000, 0.4253) x6
Al (0.0000, 0.0000, 0.0000) x3
Al (0.0000, 0.0000, 0.5000) x3
Tl (0.0385, 0.5192, 0.2987) x18
Tl (0.0521, 0.5260, 0.8664) x18

Computed properties:
- Uncorrected energy: -2.498 eV per atom
- Formation energy from the elements: -1.60 eV/f.u.